Entry a
DFT (PBE) results for an optimized crystal structure of KZr2.

Cell: 13.6220 13.6220 3.1587 Å, 90.00 90.00 157.59°
Fractional coordinates of all 6 atoms:
K: 0.0832 0.9168 0.7500
K: 0.9168 0.0832 0.2500
Zr: 0.2303 0.7697 0.2500
Zr: 0.3255 0.6745 0.7500
Zr: 0.6745 0.3255 0.2500
Zr: 0.7697 0.2303 0.7500

Computed properties:
The size of the total moment comes out at 0.0 μB per cell.

Entry b
DFT (PBE) results for an optimized crystal structure of KZr2.

Cell: 10.0494 10.0494 10.0494 Å, 153.43 153.43 37.93°
Fractional coordinates of all 6 atoms:
K: 0.3750 0.6250 0.7500
K: 0.6250 0.3750 0.2500
Zr: 0.0333 0.7833 0.2500
Zr: 0.2167 0.9667 0.2500
Zr: 0.7833 0.0333 0.7500
Zr: 0.9667 0.2167 0.7500

Computed properties:
The size of the total moment comes out at 0.0 μB per cell.

Which is most stable? The ranking, best first, is entry a, entry b.

Entry a
DFT (PBE) results for an optimized crystal structure of KZr2.

Cell: 2.8179 10.0554 5.7699 Å, 90.00 90.00 90.00°
Fractional coordinates of all 6 atoms:
K: 0.0000 0.0000 0.0000
K: 0.5000 0.5000 0.5000
Zr: 0.2407 0.3328 0.0000
Zr: 0.2593 0.8328 0.5000
Zr: 0.7407 0.1672 0.5000
Zr: 0.7593 0.6672 0.0000

Computed properties:
The size of the total moment comes out at 0.0 μB per cell.

Entry b
DFT (PBE) results for an optimized crystal structure of KZr2.

Cell: 9.3557 9.3557 6.3129 Å, 90.00 90.00 161.68°
Fractional coordinates of all 6 atoms:
K: 0.1230 0.8770 0.7500
K: 0.8770 0.1230 0.2500
Zr: 0.1988 0.8012 0.2500
Zr: 0.4424 0.5576 0.7500
Zr: 0.5576 0.4424 0.2500
Zr: 0.8012 0.1988 0.7500

Computed properties:
The size of the total moment comes out at 0.0 μB per cell.

Which is most stable? The ranking, best first, is entry b, entry a.